[1]
The following is a PBE calculation of a geometry-optimized Ce2YSi2Pt7 structure, from Alexandria.

Structure (CIF):
```
data_Ce2YSi2Pt7
_cell_length_a 5.821
_cell_length_b 5.736
_cell_length_c 13.873
_cell_angle_alpha 90.00
_cell_angle_beta 97.94
_cell_angle_gamma 90.00
_space_group_name_H-M_alt 'C 1 2/m 1'
_space_group_IT_number 12
loop_
_space_group_symop_operation_xyz
'x,y,z'
'-x,-y,-z'
'-x,y,-z'
'x,-y,z'
'x+1/2,y+1/2,z'
'-x+1/2,-y+1/2,-z'
'-x+1/2,y+1/2,-z'
'x+1/2,-y+1/2,z'
loop_
_atom_site_label
_atom_site_fract_x
_atom_site_fract_y
_atom_site_fract_z
Ce1 0.108 0.000 0.356
Y1 0.000 0.000 0.000
Si1 0.085 0.500 0.251
Pt1 0.000 0.500 0.000
Pt2 0.119 0.500 0.424
Pt3 0.196 0.251 0.841
```

Output
total energy	-168.9	eV for the cell shown



[2]
The following is a PBE calculation of a geometry-optimized CeY2Si3Pt4 structure, from Alexandria.

Structure (CIF):
```
data_CeY2Si3Pt4
_cell_length_a 4.236
_cell_length_b 4.236
_cell_length_c 10.941
_cell_angle_alpha 90.00
_cell_angle_beta 90.00
_cell_angle_gamma 90.00
_space_group_name_H-M_alt 'P -4 m 2'
_space_group_IT_number 115
loop_
_space_group_symop_operation_xyz
'x,y,z'
'y,-x,-z'
'-x,-y,z'
'-y,x,-z'
'-x,y,z'
'-y,-x,-z'
'x,-y,z'
'y,x,-z'
loop_
_atom_site_label
_atom_site_fract_x
_atom_site_fract_y
_atom_site_fract_z
Ce1 0.000 0.000 0.000
Y1 0.000 0.500 0.720
Si1 0.000 0.500 0.381
Si2 0.500 0.500 0.000
Pt1 0.000 0.000 0.500
Pt2 0.000 0.500 0.166
Pt3 0.500 0.500 0.500
```

Output
total energy	-69.2	eV for the cell shown



[3]
The following is a PBE calculation of a geometry-optimized CeYSi2Pt2 structure, from Alexandria.

Structure (CIF):
```
data_CeYSi2Pt2
_cell_length_a 4.2186
_cell_length_b 4.2186
_cell_length_c 7.9210
_cell_angle_alpha 90.00
_cell_angle_beta 90.00
_cell_angle_gamma 120.00
_space_group_name_H-M_alt 'P -3 m 1'
_space_group_IT_number 164
_space_group_name_Hall '-P 3 2"'
loop_
_atom_site_label
_atom_site_fract_x
_atom_site_fract_y
_atom_site_fract_z
Ce1 0.0000 0.0000 0.0000
Y1 0.0000 0.0000 0.5000
Si1 0.3333 0.6667 0.2485
Pt1 0.3333 0.6667 0.7409
```

Output
total energy	-42.2	eV for the cell shown



[4]
The following is a PBE calculation of a geometry-optimized CeYSi2Pt4 structure, from Alexandria.

Structure (CIF):
```
data_CeYSi2Pt4
_cell_length_a 4.090
_cell_length_b 4.090
_cell_length_c 9.306
_cell_angle_alpha 90.00
_cell_angle_beta 90.00
_cell_angle_gamma 90.00
_space_group_name_H-M_alt 'P 4/m m m'
_space_group_IT_number 123
_space_group_name_Hall '-P 4 2'
loop_
_atom_site_label
_atom_site_fract_x
_atom_site_fract_y
_atom_site_fract_z
Ce1 0.000 0.000 0.000
Y1 0.000 0.000 0.500
Si1 0.500 0.500 0.375
Pt1 0.000 0.500 0.235
```

Output
total energy	-54.9	eV for the cell shown



[5]
The following is a PBE calculation of a geometry-optimized Ce2ZnSiPt6 structure, from Alexandria.

Structure (CIF):
```
data_Ce2ZnSiPt6
_cell_length_a 9.349
_cell_length_b 9.349
_cell_length_c 9.349
_cell_angle_alpha 90.00
_cell_angle_beta 90.00
_cell_angle_gamma 90.00
_space_group_name_H-M_alt 'F m -3 m'
_space_group_IT_number 225
_space_group_name_Hall '-F 4 2 3'
loop_
_atom_site_label
_atom_site_fract_x
_atom_site_fract_y
_atom_site_fract_z
Ce1 0.250 0.250 0.250
Zn1 0.000 0.000 0.000
Si1 0.000 0.000 0.500
Pt1 0.000 0.000 0.256
```

Output
total energy	-239.7	eV for the cell shown



[6]
The following is a PBE calculation of a geometry-optimized Ce3ZnSi2Pt9 structure, from Alexandria.

Structure (CIF):
```
data_Ce3ZnSi2Pt9
_cell_length_a 5.6848
_cell_length_b 5.6848
_cell_length_c 10.9541
_cell_angle_alpha 90.00
_cell_angle_beta 90.00
_cell_angle_gamma 120.00
_space_group_name_H-M_alt 'P -3 m 1'
_space_group_IT_number 164
_space_group_name_Hall '-P 3 2"'
loop_
_atom_site_label
_atom_site_fract_x
_atom_site_fract_y
_atom_site_fract_z
Ce1 0.0000 0.0000 0.0000
Ce2 0.3333 0.6667 0.5915
Zn1 0.0000 0.0000 0.5000
Si1 0.3333 0.6667 0.1635
Pt1 0.0000 0.5000 0.0000
Pt2 0.1637 0.3274 0.3169
```

Output
total energy	-96.0	eV for the cell shown



[7]
The following is a PBE calculation of a geometry-optimized CeZnSi2Pt2 structure, from Alexandria.

Structure (CIF):
```
data_CeZnSi2Pt2
_cell_length_a 4.2052
_cell_length_b 4.2052
_cell_length_c 6.9064
_cell_angle_alpha 90.00
_cell_angle_beta 90.00
_cell_angle_gamma 120.00
_space_group_name_H-M_alt 'P -3 m 1'
_space_group_IT_number 164
_space_group_name_Hall '-P 3 2"'
loop_
_atom_site_label
_atom_site_fract_x
_atom_site_fract_y
_atom_site_fract_z
Ce1 0.0000 0.0000 0.0000
Zn1 0.0000 0.0000 0.5000
Si1 0.3333 0.6667 0.7248
Pt1 0.3333 0.6667 0.3240
```

Output
total energy	-35.0	eV for the cell shown



[8]
The following is a PBE calculation of a geometry-optimized Ce2ZnSi4Pt3 structure, from Alexandria.

Structure (CIF):
```
data_Ce2ZnSi4Pt3
_cell_length_a 4.228
_cell_length_b 4.228
_cell_length_c 9.964
_cell_angle_alpha 90.00
_cell_angle_beta 90.00
_cell_angle_gamma 90.00
_space_group_name_H-M_alt 'P -4 m 2'
_space_group_IT_number 115
loop_
_space_group_symop_operation_xyz
'x,y,z'
'y,-x,-z'
'-x,-y,z'
'-y,x,-z'
'-x,y,z'
'-y,-x,-z'
'x,-y,z'
'y,x,-z'
loop_
_atom_site_label
_atom_site_fract_x
_atom_site_fract_y
_atom_site_fract_z
Ce1 0.000 0.500 0.248
Zn1 0.000 0.000 0.500
Si1 0.000 0.000 0.000
Si2 0.000 0.500 0.637
Si3 0.500 0.500 0.000
Pt1 0.000 0.500 0.879
Pt2 0.500 0.500 0.500
```

Output
total energy	-62.8	eV for the cell shown



[9]
The following is a PBE calculation of a geometry-optimized Ce2ZnSi3Pt12 structure, from Alexandria.

Structure (CIF):
```
data_Ce2ZnSi3Pt12
_cell_length_a 8.2314
_cell_length_b 8.2314
_cell_length_c 17.7600
_cell_angle_alpha 90.00
_cell_angle_beta 90.00
_cell_angle_gamma 120.00
_space_group_name_H-M_alt 'R -3 m'
_space_group_IT_number 166
_space_group_name_Hall '-R 3 2"'
loop_
_atom_site_label
_atom_site_fract_x
_atom_site_fract_y
_atom_site_fract_z
Ce1 0.0000 0.0000 0.1155
Zn1 0.0000 0.0000 0.5000
Si1 0.0000 0.5000 0.0000
Pt1 0.0081 0.5041 0.8685
Pt2 0.0238 0.5119 0.3703
```

Output
total energy	-335.0	eV for the cell shown



[10]
The following is a PBE calculation of a geometry-optimized Ce2ZrSi4Pt3 structure, from Alexandria.

Structure (CIF):
```
data_Ce2ZrSi4Pt3
_cell_length_a 4.255
_cell_length_b 4.255
_cell_length_c 10.419
_cell_angle_alpha 90.00
_cell_angle_beta 90.00
_cell_angle_gamma 90.00
_space_group_name_H-M_alt 'P -4 m 2'
_space_group_IT_number 115
loop_
_space_group_symop_operation_xyz
'x,y,z'
'y,-x,-z'
'-x,-y,z'
'-y,x,-z'
'-x,y,z'
'-y,-x,-z'
'x,-y,z'
'y,x,-z'
loop_
_atom_site_label
_atom_site_fract_x
_atom_site_fract_y
_atom_site_fract_z
Ce1 0.000 0.500 0.236
Zr1 0.000 0.000 0.500
Si1 0.000 0.000 0.000
Si2 0.000 0.500 0.653
Si3 0.500 0.500 0.000
Pt1 0.000 0.500 0.886
Pt2 0.500 0.500 0.500
```

Output
total energy	-70.4	eV for the cell shown



[11]
The following is a PBE calculation of a geometry-optimized CeSmPt2 structure, from Alexandria.

Structure (CIF):
```
data_CeSmPt2
_cell_length_a 5.077
_cell_length_b 5.077
_cell_length_c 3.529
_cell_angle_alpha 90.00
_cell_angle_beta 90.00
_cell_angle_gamma 90.00
_space_group_name_H-M_alt 'P 4/m m m'
_space_group_IT_number 123
_space_group_name_Hall '-P 4 2'
loop_
_atom_site_label
_atom_site_fract_x
_atom_site_fract_y
_atom_site_fract_z
Ce1 0.000 0.000 0.000
Sm1 0.500 0.500 0.000
Pt1 0.000 0.500 0.500
```

Output
total energy	-26.9	eV for the cell shown
relative energy among the computed polymorphs	45.1	kJ/mol of formula units
energy of formation from the pure elements	-1032.3	meV per atom



[12]
The following is a PBE calculation of a geometry-optimized CeSmPt2 structure, from Alexandria.

Structure (CIF):
```
data_CeSmPt2
_cell_length_a 4.512
_cell_length_b 3.830
_cell_length_c 10.894
_cell_angle_alpha 90.00
_cell_angle_beta 90.00
_cell_angle_gamma 90.00
_space_group_name_H-M_alt 'A m m 2'
_space_group_IT_number 38
loop_
_space_group_symop_operation_xyz
'x,y,z'
'-x,-y,z'
'-x,y,z'
'x,-y,z'
'x,y+1/2,z+1/2'
'-x,-y+1/2,z+1/2'
'-x,y+1/2,z+1/2'
'x,-y+1/2,z+1/2'
loop_
_atom_site_label
_atom_site_fract_x
_atom_site_fract_y
_atom_site_fract_z
Ce1 0.000 0.000 0.000
Sm1 0.500 0.000 0.727
Pt1 0.000 0.000 0.275
Pt2 0.500 0.000 0.458
```

Output
total energy	-54.7	eV for the cell shown
relative energy among the computed polymorphs	0.0	kJ/mol of formula units
energy of formation from the pure elements	-1149.2	meV per atom